No. 1
9
Lattice="4.597 0.000 0.000 0.000 4.597 0.000 0.000 0.000 8.740" Properties=species:S:1:pos:R:3 comment="Ta2Nb6In | the Alexandria database | PBE-GGA | relaxed" e_above_lowest_polymorph_mev_per_atom=228.3 pbc="T T T"
Ta 0.000 0.000 1.290
Ta 0.000 0.000 7.450
Nb 0.000 0.000 4.370
Nb 0.000 2.298 2.710
Nb 0.000 2.298 6.030
Nb 2.298 0.000 2.710
Nb 2.298 0.000 6.030
Nb 2.298 2.298 4.370
In 2.298 2.298 0.000



No. 2
9
Lattice="5.479 -1.818 0.000 5.479 1.818 0.000 -1.854 0.000 5.467" Properties=species:S:1:pos:R:3 comment="Cu3Ni4Rh2 | the Alexandria database | PBE-GGA | relaxed" e_above_lowest_polymorph_mev_per_atom=0.0 pbc="T T T"
Cu 0.000 0.000 0.000
Cu 0.020 0.000 3.678
Cu 9.084 0.000 1.788
Ni 1.823 0.000 1.809
Ni 3.603 0.000 0.008
Ni 5.501 0.000 5.458
Ni 7.281 0.000 3.657
Rh 3.594 0.000 3.662
Rh 5.510 0.000 1.805



No. 3
4
Lattice="3.259 -1.881 0.000 3.259 1.881 0.000 -0.013 0.000 8.753" Properties=species:S:1:pos:R:3 comment="GaSiAsSe | the Alexandria database | PBE-GGA | relaxed" dft_energy_ev_per_fu=-17.9 pbc="T T T"
Ga 0.000 0.000 0.000
Si 6.503 0.000 6.347
As 2.159 0.000 5.263
Se 4.345 0.000 1.186



Number 1: spin magnetization 0.000 μB per atom, calculated density 9.298 g/cm³. Number 2: spin magnetization 0.425 μB per atom, calculated density 9.626 g/cm³. Number 3: spin magnetization 0.000 μB per atom, calculated density 3.895 g/cm³.